Compound: RbIr2O8
Source: Alexandria via LeMat-Bulk
Functional: PBE-GGA
Structure: optimized geometry

It has space group P4/mmm (No. 123), with a = 4.732 Å, b = 4.732 Å, c = 7.250 Å, α = 90.00°, β = 90.00° and γ = 90.00°. The asymmetric unit holds Rb at (0.000, 0.000, 0.000), Ir at (0.000, 0.500, 0.500) and O at (0.250, 0.250, 0.337).

As for the theoretical density: 6.11 Mg/m³. Its density of states at the Fermi level is 5.666 states/eV per cell. For the raw formation energy, the calculation gives -2.755 eV per formula unit.

---

Compound: Pb2Br
Source: Alexandria via LeMat-Bulk
Functional: PBE-GGA
Structure: optimized geometry

It has space group C2/m (No. 12), with a = 11.871 Å, b = 3.676 Å, c = 8.932 Å, α = 90.00°, β = 101.28° and γ = 90.00°. The asymmetric unit holds Pb at (0.143, 0.000, 0.040), Pb at (0.211, 0.000, 0.663) and Br at (0.028, 0.500, 0.302).

As for the theoretical density: 8.59 Mg/m³. The calculation puts the polymorph energy (0 for the lowest one) at 17.5 meV/atom. Its density of states at the Fermi level is 2.521 states/eV per cell. For the raw formation energy, the calculation gives -0.770 eV per formula unit.

---

Compound: LiNd2PN4
Source: Alexandria via LeMat-Bulk
Functional: PBE-GGA
Structure: optimized geometry

It has space group Fddd (No. 70, origin choice 2), with a = 4.295 Å, b = 10.337 Å, c = 18.471 Å, α = 90.00°, β = 90.00° and γ = 90.00°. The asymmetric unit holds Li at (0.125, 0.125, 0.125), Nd at (0.125, 0.125, 0.303), P at (0.125, 0.125, 0.625) and N at (0.092, 0.271, 0.826).

As for the theoretical density: 6.19 Mg/m³. For the raw formation energy, the calculation gives -6.058 eV per formula unit.

---

Compound: YTc3Ni
Source: Alexandria via LeMat-Bulk
Functional: PBE-GGA
Structure: optimized geometry

It has space group Pm-3m (No. 221), with a = 4.537 Å, b = 4.537 Å, c = 4.537 Å, α = 90.00°, β = 90.00° and γ = 90.00°. The asymmetric unit holds Y at (0.000, 0.000, 0.000), Tc at (0.000, 0.500, 0.500) and Ni at (0.500, 0.500, 0.500).

The calculation puts the formation energy at 939 meV/atom. As for the theoretical density: 7.85 Mg/m³. The calculation puts the polymorph energy (0 for the lowest one) at 0.0 meV/atom. Its density of states at the Fermi level is 9.055 states/eV per cell.

---

Compound: Eu3Ni5H12
Source: Alexandria via LeMat-Bulk
Functional: PBE-GGA
Structure: optimized geometry

It has space group Ia-3d (No. 230), with a = 11.505 Å, b = 11.505 Å, c = 11.505 Å, α = 90.00°, β = 90.00° and γ = 90.00°. The asymmetric unit holds Eu at (0.000, 0.250, 0.125), Ni at (0.000, 0.000, 0.000), Ni at (0.000, 0.250, 0.375) and H at (0.040, 0.136, 0.958).

For the total energy, the calculation gives -5.1898 eV/atom. As for the theoretical density: 6.64 Mg/m³. Its density of states at the Fermi level is 223.764 states/eV per cell.

---

Compound: CeDy2Er4Tm
Source: Alexandria via LeMat-Bulk
Functional: PBE-GGA
Structure: optimized geometry

It has space group P4/mmm (No. 123), with a = 4.971 Å, b = 4.971 Å, c = 9.927 Å, α = 90.00°, β = 90.00° and γ = 90.00°. The asymmetric unit holds Ce at (0.000, 0.000, 0.000), Dy at (0.000, 0.000, 0.500), Dy at (0.500, 0.500, 0.000), Er at (0.000, 0.500, 0.249) and Tm at (0.500, 0.500, 0.500).

The calculation puts the formation energy at 44 meV/atom. As for the theoretical density: 8.82 Mg/m³. Its density of states at the Fermi level is 11.862 states/eV per cell.

---

Compound: TaV2Ni
Source: Alexandria via LeMat-Bulk
Functional: PBE-GGA
Structure: optimized geometry

It has space group P4/mmm (No. 123), with a = 3.638 Å, b = 3.638 Å, c = 4.256 Å, α = 90.00°, β = 90.00° and γ = 90.00°. The asymmetric unit holds Ta at (0.000, 0.000, 0.000), V at (0.000, 0.500, 0.500) and Ni at (0.500, 0.500, 0.000).

The calculation puts the formation energy at 3 meV/atom. As for the theoretical density: 10.07 Mg/m³. The calculation puts the polymorph energy (0 for the lowest one) at 0.0 meV/atom. Its density of states at the Fermi level is 4.102 states/eV per cell.

---

Compound: CaAlCd2
Source: Alexandria via LeMat-Bulk
Functional: PBE-GGA
Structure: optimized geometry

It has space group Cm (No. 8), with a = 8.716 Å, b = 5.089 Å, c = 5.095 Å, α = 90.00°, β = 125.54° and γ = 90.00°. The asymmetric unit holds Ca at (0.000, 0.000, 0.000), Al at (0.250, 0.500, 0.250), Cd at (0.000, 0.500, 0.499) and Cd at (0.250, 0.000, 0.749).

The calculation puts the formation energy at -133 meV/atom. As for the theoretical density: 5.27 Mg/m³. Its density of states at the Fermi level is 4.542 states/eV per cell.